# NbRe2Tc2

Crystalline NbRe2Tc2 at its relaxed geometry (PBE, Alexandria).

CIF file:
```
data_NbRe2Tc2
_chemical_formula_sum 'Nb2 Re4 Tc4'
_symmetry_space_group_name_H-M 'P 1'
_symmetry_Int_Tables_number 1
_symmetry_space_group_name_Hall 'P 1'
_cell_length_a 7.563
_cell_length_b 7.563
_cell_length_c 2.793
_cell_angle_alpha 90.00
_cell_angle_beta 90.00
_cell_angle_gamma 90.00
loop_
_atom_site_label
_atom_site_type_symbol
_atom_site_fract_x
_atom_site_fract_y
_atom_site_fract_z
Nb1 Nb 0.000 0.000 0.000
Nb2 Nb 0.500 0.500 0.000
Re1 Re 0.170 0.330 0.500
Re2 Re 0.330 0.830 0.500
Re3 Re 0.670 0.170 0.500
Re4 Re 0.830 0.670 0.500
Tc1 Tc 0.128 0.628 0.000
Tc2 Tc 0.372 0.128 0.000
Tc3 Tc 0.628 0.872 0.000
Tc4 Tc 0.872 0.372 0.000
```

V ... 159.8 Å³/cell
Distance to the lowest polymorph of the same formula ... 0.04 eV per formula unit
Energy of formation from the pure elements ... 0.1353 eV/atom

***

# HoTm2F8

Crystalline HoTm2F8 at its relaxed geometry (PBE, Alexandria).

CIF file:
```
data_HoTm2F8
_chemical_formula_sum 'Ho1 Tm2 F8'
_symmetry_space_group_name_H-M 'P 1'
_symmetry_Int_Tables_number 1
_symmetry_space_group_name_Hall 'P 1'
_cell_length_a 7.284
_cell_length_b 7.284
_cell_length_c 4.300
_cell_angle_alpha 90.00
_cell_angle_beta 90.00
_cell_angle_gamma 120.00
loop_
_atom_site_label
_atom_site_type_symbol
_atom_site_fract_x
_atom_site_fract_y
_atom_site_fract_z
Ho1 Ho 0.000 0.000 0.000
Tm1 Tm 0.333 0.667 0.209
Tm2 Tm 0.667 0.333 0.791
F1 F 0.169 0.338 0.194
F2 F 0.169 0.831 0.194
F3 F 0.333 0.667 0.706
F4 F 0.338 0.169 0.806
F5 F 0.662 0.831 0.194
F6 F 0.667 0.333 0.294
F7 F 0.831 0.169 0.806
F8 F 0.831 0.662 0.806
```

V ... 197.6 Å³/cell
Formation energy without anion corrections ... -3.84 eV per atom

***

# Nd6Dy5Tl

Crystalline Nd6Dy5Tl at its relaxed geometry (PBE, Alexandria).

CIF file:
```
data_Nd6Dy5Tl
_chemical_formula_sum 'Nd6 Dy5 Tl1'
_symmetry_space_group_name_H-M 'P 1'
_symmetry_Int_Tables_number 1
_symmetry_space_group_name_Hall 'P 1'
_cell_length_a 9.514
_cell_length_b 9.514
_cell_length_c 9.514
_cell_angle_alpha 149.18
_cell_angle_beta 116.30
_cell_angle_gamma 72.44
loop_
_atom_site_label
_atom_site_type_symbol
_atom_site_fract_x
_atom_site_fract_y
_atom_site_fract_z
Nd1 Nd 0.080 0.334 0.746
Nd2 Nd 0.245 0.000 0.245
Nd3 Nd 0.411 0.666 0.746
Nd4 Nd 0.589 0.334 0.254
Nd5 Nd 0.755 0.000 0.755
Nd6 Nd 0.920 0.666 0.254
Dy1 Dy 0.169 0.169 0.000
Dy2 Dy 0.336 0.836 0.500
Dy3 Dy 0.500 0.500 0.000
Dy4 Dy 0.664 0.164 0.500
Dy5 Dy 0.831 0.831 0.000
Tl1 Tl 0.000 0.500 0.500
```

V ... 389.8 Å³/cell
Energy of formation from the pure elements ... -0.0339 eV/atom

***

# Hg2AsSe

Crystalline Hg2AsSe at its relaxed geometry (PBE, Alexandria).

CIF file:
```
data_Hg2AsSe
_chemical_formula_sum 'Hg2 As1 Se1'
_symmetry_space_group_name_H-M 'P 1'
_symmetry_Int_Tables_number 1
_symmetry_space_group_name_Hall 'P 1'
_cell_length_a 2.852
_cell_length_b 6.413
_cell_length_c 5.428
_cell_angle_alpha 90.00
_cell_angle_beta 90.53
_cell_angle_gamma 90.00
loop_
_atom_site_label
_atom_site_type_symbol
_atom_site_fract_x
_atom_site_fract_y
_atom_site_fract_z
Hg1 Hg 0.230 0.000 0.251
Hg2 Hg 0.770 0.000 0.749
As1 As 0.000 0.500 0.000
Se1 Se 0.000 0.500 0.500
```

V ... 99.3 Å³/cell
Formation energy without anion corrections ... 0.22 eV per atom

***

# ZnTeCl2

Crystalline ZnTeCl2 at its relaxed geometry (PBE, Alexandria).

CIF file:
```
data_ZnTeCl2
_chemical_formula_sum 'Zn1 Te1 Cl2'
_symmetry_space_group_name_H-M 'P 1'
_symmetry_Int_Tables_number 1
_symmetry_space_group_name_Hall 'P 1'
_cell_length_a 5.128
_cell_length_b 5.128
_cell_length_c 5.128
_cell_angle_alpha 60.00
_cell_angle_beta 60.00
_cell_angle_gamma 60.00
loop_
_atom_site_label
_atom_site_type_symbol
_atom_site_fract_x
_atom_site_fract_y
_atom_site_fract_z
Zn1 Zn 0.000 0.000 0.000
Te1 Te 0.500 0.500 0.500
Cl1 Cl 0.250 0.250 0.250
Cl2 Cl 0.750 0.750 0.750
```

V ... 95.4 Å³/cell
Distance to the lowest polymorph of the same formula ... 3.60 eV per formula unit
Formation energy without anion corrections ... 0.28 eV per atom

***

# AcSm2NpN4

Crystalline AcSm2NpN4 at its relaxed geometry (PBE, Alexandria).

CIF file:
```
data_AcSm2NpN4
_chemical_formula_sum 'Ac2 Sm4 Np2 N8'
_symmetry_space_group_name_H-M 'P 1'
_symmetry_Int_Tables_number 1
_symmetry_space_group_name_Hall 'P 1'
_cell_length_a 6.486
_cell_length_b 6.486
_cell_length_c 12.790
_cell_angle_alpha 90.00
_cell_angle_beta 90.00
_cell_angle_gamma 147.32
loop_
_atom_site_label
_atom_site_type_symbol
_atom_site_fract_x
_atom_site_fract_y
_atom_site_fract_z
Ac1 Ac 0.133 0.867 0.750
Ac2 Ac 0.867 0.133 0.250
Sm1 Sm 0.371 0.629 0.527
Sm2 Sm 0.371 0.629 0.973
Sm3 Sm 0.629 0.371 0.027
Sm4 Sm 0.629 0.371 0.473
Np1 Np 0.134 0.866 0.250
Np2 Np 0.866 0.134 0.750
N1 N 0.000 0.000 0.000
N2 N 0.000 0.000 0.500
N3 N 0.254 0.746 0.121
N4 N 0.254 0.746 0.379
N5 N 0.468 0.532 0.750
N6 N 0.532 0.468 0.250
N7 N 0.746 0.254 0.621
N8 N 0.746 0.254 0.879
```

V ... 290.5 Å³/cell
Formation energy without anion corrections ... -1.03 eV per atom

***

Question: Which value of V does entry 6 give?
Answer: 290.5 Å³/cell

***

What did the first record say?
# NbRe2Tc2

Crystalline NbRe2Tc2 at its relaxed geometry (PBE, Alexandria).

CIF file:
```
data_NbRe2Tc2
_chemical_formula_sum 'Nb2 Re4 Tc4'
_symmetry_space_group_name_H-M 'P 1'
_symmetry_Int_Tables_number 1
_symmetry_space_group_name_Hall 'P 1'
_cell_length_a 7.563
_cell_length_b 7.563
_cell_length_c 2.793
_cell_angle_alpha 90.00
_cell_angle_beta 90.00
_cell_angle_gamma 90.00
loop_
_atom_site_label
_atom_site_type_symbol
_atom_site_fract_x
_atom_site_fract_y
_atom_site_fract_z
Nb1 Nb 0.000 0.000 0.000
Nb2 Nb 0.500 0.500 0.000
Re1 Re 0.170 0.330 0.500
Re2 Re 0.330 0.830 0.500
Re3 Re 0.670 0.170 0.500
Re4 Re 0.830 0.670 0.500
Tc1 Tc 0.128 0.628 0.000
Tc2 Tc 0.372 0.128 0.000
Tc3 Tc 0.628 0.872 0.000
Tc4 Tc 0.872 0.372 0.000
```

V ... 159.8 Å³/cell
Distance to the lowest polymorph of the same formula ... 0.04 eV per formula unit
Energy of formation from the pure elements ... 0.1353 eV/atom